# 1
{"formula": "TiCr2Ag3Se6", "functional": "GGA-PBE", "state": "optimized geometry", "cell": [[3.156, -5.454, 0.000], [3.156, 5.454, 0.000], [-2.198, 0.000, 7.885]], "species": ["Ti", "Cr", "Cr", "Ag", "Ag", "Ag", "Se", "Se", "Se", "Se", "Se", "Se"], "fractional_positions": [[0.000, 0.000, 0.000], [0.332, 0.668, 0.000], [0.668, 0.332, 0.000], [0.210, 0.790, 0.500], [0.500, 0.500, 0.500], [0.790, 0.210, 0.500], [0.063, 0.722, 0.182], [0.278, 0.937, 0.818], [0.402, 0.402, 0.180], [0.598, 0.598, 0.820], [0.722, 0.063, 0.182], [0.937, 0.278, 0.818]], "raw_formation_energy_kj_per_mol_atoms": -44}

***

# 2
{"formula": "Ca2Zn6GaRh", "functional": "GGA-PBE", "state": "optimized geometry", "cell": [[7.143, 0.000, 0.000], [0.000, 8.862, 0.000], [0.000, 0.000, 6.539]], "species": ["Ca", "Ca", "Ca", "Ca", "Zn", "Zn", "Zn", "Zn", "Zn", "Zn", "Zn", "Zn", "Zn", "Zn", "Zn", "Zn", "Ga", "Ga", "Rh", "Rh"], "fractional_positions": [[0.250, 0.023, 0.242], [0.250, 0.477, 0.242], [0.750, 0.523, 0.758], [0.750, 0.977, 0.758], [0.050, 0.250, 0.883], [0.072, 0.750, 0.557], [0.250, 0.503, 0.732], [0.250, 0.997, 0.732], [0.428, 0.750, 0.557], [0.450, 0.250, 0.883], [0.550, 0.750, 0.117], [0.572, 0.250, 0.443], [0.750, 0.003, 0.268], [0.750, 0.497, 0.268], [0.928, 0.250, 0.443], [0.950, 0.750, 0.117], [0.250, 0.750, 0.929], [0.750, 0.250, 0.071], [0.250, 0.250, 0.571], [0.750, 0.750, 0.429]], "e_form_ev_per_fu": -2.3}

***

# 3
{"formula": "MgW2Br", "functional": "GGA-PBE", "state": "optimized geometry", "cell": [[4.812, -1.442, 0.000], [4.812, 1.442, 0.000], [-0.342, 0.000, 5.341]], "species": ["Mg", "W", "W", "Br"], "fractional_positions": [[0.000, 0.000, 0.000], [0.474, 0.474, 0.519], [0.733, 0.733, 0.712], [0.260, 0.260, 0.125]], "relative_energy_kj_per_mol_atoms": 59.0, "raw_formation_energy_kj_per_mol_atoms": 86}

***

# 4
{"formula": "CrReIr2", "functional": "GGA-PBE", "state": "optimized geometry", "cell": [[4.466, -1.356, 0.000], [4.466, 1.356, 0.000], [-0.854, 0.000, 4.637]], "species": ["Cr", "Re", "Ir", "Ir"], "fractional_positions": [[0.000, 0.000, 0.000], [0.750, 0.750, 0.268], [0.257, 0.257, 0.785], [0.500, 0.500, 0.502]], "e_form_ev_per_fu": -0.5, "relative_energy_kj_per_mol_atoms": 14.0}

***

# 5
{"formula": "ScRh2Pb", "functional": "GGA-PBE", "state": "optimized geometry", "cell": [[3.278, 0.000, 0.000], [0.000, 4.024, 0.000], [0.000, 0.000, 5.558]], "species": ["Sc", "Rh", "Rh", "Pb"], "fractional_positions": [[0.000, 0.000, 0.000], [0.000, 0.000, 0.529], [0.500, 0.500, 0.835], [0.500, 0.500, 0.337]], "e_form_ev_per_fu": -1.6}

***

# 6
{"formula": "Tb2ScUP4", "functional": "GGA-PBE", "state": "optimized geometry", "cell": [[6.790, 0.000, 0.000], [0.000, 3.930, 0.000], [-2.249, 0.000, 6.449]], "species": ["Tb", "Tb", "Sc", "U", "P", "P", "P", "P"], "fractional_positions": [[0.000, 0.000, 0.000], [0.500, 0.500, 0.000], [0.000, 0.500, 0.500], [0.500, 0.000, 0.500], [0.244, 0.000, 0.735], [0.250, 0.500, 0.261], [0.750, 0.500, 0.739], [0.756, 0.000, 0.265]], "e_form_ev_per_fu": -11.3}

***

# 7
{"formula": "KZnRu3", "functional": "GGA-PBE", "state": "optimized geometry", "cell": [[4.771, 0.000, 0.000], [0.000, 4.771, 0.000], [0.000, 0.000, 4.771]], "species": ["K", "Zn", "Ru", "Ru", "Ru"], "fractional_positions": [[0.000, 0.000, 0.000], [0.500, 0.500, 0.500], [0.000, 0.500, 0.500], [0.500, 0.000, 0.500], [0.500, 0.500, 0.000]], "e_form_ev_per_fu": 8.1, "relative_energy_kj_per_mol_atoms": 0.0}

***

# 8
{"formula": "FeTe2OsPt", "functional": "GGA-PBE", "state": "optimized geometry", "cell": [[5.249, 0.000, 0.000], [0.000, 5.249, 0.000], [0.000, 0.000, 4.817]], "species": ["Fe", "Te", "Te", "Os", "Pt"], "fractional_positions": [[0.000, 0.000, 0.000], [0.000, 0.500, 0.500], [0.500, 0.000, 0.500], [0.500, 0.500, 0.000], [0.500, 0.500, 0.500]], "raw_formation_energy_kj_per_mol_atoms": 152}

***

The records above yield electronic total energy values of -62.1; -48.6; -25.6; -40.3; -26.4; -59.8; -22.1; -24.1 eV/cell, respectively.